No. 1
Density functional theory data (PBE) for an optimized crystal structure of TaCrHOs2.

## Properties
N(E_F): 4.811 states/eV/cell
E above lowest polymorph: 70 meV per atom

Cell lengths 3.948, 3.948, 3.968 Å; angles 90.00, 90.00, 90.00 degrees
Space group P4/mmm (No. 123)
Inequivalent atoms, fractional coordinates:
Ta 0.000 0.000 0.000
Cr 0.500 0.500 0.000
H 0.000 0.000 0.500
Os 0.000 0.500 0.500

No. 2
Density functional theory data (PBE) for an optimized crystal structure of CrTcHOs2.

## Properties
N(E_F): 4.969 states/eV/cell
E above lowest polymorph: 0 meV per atom

Cell lengths 3.871, 3.871, 3.848 Å; angles 90.00, 90.00, 90.00 degrees
Space group P4/mmm (No. 123)
Inequivalent atoms, fractional coordinates:
Cr 0.000 0.000 0.000
Tc 0.500 0.500 0.000
H 0.000 0.000 0.500
Os 0.000 0.500 0.500

No. 3
Density functional theory data (PBE) for an optimized crystal structure of CrTcHOs2.

## Properties
N(E_F): 5.431 states/eV/cell
E above lowest polymorph: 48 meV per atom

Cell lengths 3.864, 3.864, 3.880 Å; angles 90.00, 90.00, 90.00 degrees
Space group P4/mmm (No. 123)
Inequivalent atoms, fractional coordinates:
Cr 0.000 0.000 0.000
Tc 0.500 0.500 0.000
H 0.500 0.500 0.500
Os 0.000 0.500 0.500

No. 4
Density functional theory data (PBE) for an optimized crystal structure of Cr2TcHOs.

## Properties
N(E_F): 4.492 states/eV/cell
E above lowest polymorph: 23 meV per atom

Cell lengths 3.815, 3.815, 3.769 Å; angles 90.00, 90.00, 90.00 degrees
Space group P4/mmm (No. 123)
Inequivalent atoms, fractional coordinates:
Cr 0.000 0.500 0.000
Tc 0.000 0.000 0.500
H 0.500 0.500 0.000
Os 0.500 0.500 0.500

No. 5
Density functional theory data (PBE) for an optimized crystal structure of Cr2TcHOs.

## Properties
N(E_F): 5.401 states/eV/cell
E above lowest polymorph: 0 meV per atom

Cell lengths 3.779, 3.779, 3.762 Å; angles 90.00, 90.00, 90.00 degrees
Space group P4/mmm (No. 123)
Inequivalent atoms, fractional coordinates:
Cr 0.000 0.500 0.000
Tc 0.000 0.000 0.500
H 0.000 0.000 0.000
Os 0.500 0.500 0.500

No. 6
Density functional theory data (PBE) for an optimized crystal structure of TiCr2HOs.

## Properties
N(E_F): 5.807 states/eV/cell

Cell lengths 3.688, 3.688, 4.128 Å; angles 90.00, 90.00, 90.00 degrees
Space group P4/mmm (No. 123)
Inequivalent atoms, fractional coordinates:
Ti 0.000 0.000 0.000
Cr 0.000 0.500 0.500
H 0.000 0.000 0.500
Os 0.500 0.500 0.000

No. 7
Density functional theory data (PBE) for an optimized crystal structure of Ti2CrHOs.

## Properties
N(E_F): 3.426 states/eV/cell

Cell lengths 4.307, 4.307, 3.213 Å; angles 90.00, 90.00, 90.00 degrees
Space group P4/mmm (No. 123)
Inequivalent atoms, fractional coordinates:
Ti 0.000 0.500 0.000
Cr 0.000 0.000 0.500
H 0.000 0.000 0.000
Os 0.500 0.500 0.500

No. 8
Density functional theory data (PBE) for an optimized crystal structure of VCr2HOs.

## Properties
N(E_F): 5.138 states/eV/cell
E above lowest polymorph: 0 meV per atom

Cell lengths 3.725, 3.725, 3.840 Å; angles 90.00, 90.00, 90.00 degrees
Space group P4/mmm (No. 123)
Inequivalent atoms, fractional coordinates:
V 0.000 0.000 0.000
Cr 0.000 0.500 0.500
H 0.000 0.000 0.500
Os 0.500 0.500 0.000

Total DFT energy (no corrections)? In order: -46.89; -45.12; -44.88; -43.59; -43.70; -41.73; -41.73; -42.76 eV per cell.